(1)
Compound: Ce3HPb
Source: the Alexandria database
Functional: PBE
Structure: optimized geometry Values from VASP.

Cell and atoms, written as Quantum ESPRESSO input:
```
&SYSTEM
  ibrav = 0, nat = 5, ntyp = 3
/
ATOMIC_SPECIES
Pb 207.20 Pb.upf
H 1.01 H.upf
Ce 140.12 Ce.upf
CELL_PARAMETERS angstrom
4.889 0.000 0.000
0.000 4.889 0.000
0.000 0.000 4.889
ATOMIC_POSITIONS crystal
Pb 0.500 0.500 0.500
H 0.000 0.000 0.000
Ce 0.000 0.500 0.000
Ce 0.000 0.000 0.500
Ce 0.500 0.000 0.000
```

Values from the calculation:
volume	116.82	Å³/cell
crystal system	cubic

=====

(2)
Compound: ZnTc2Sb
Source: the Alexandria database
Functional: PBE
Structure: optimized geometry Values from VASP.

Cell and atoms, written as Quantum ESPRESSO input:
```
&SYSTEM
  ibrav = 0, nat = 8, ntyp = 3
/
ATOMIC_SPECIES
Sb 121.76 Sb.upf
Zn 65.41 Zn.upf
Tc 98.00 Tc.upf
CELL_PARAMETERS angstrom
3.994 0.000 0.000
0.000 3.994 0.000
1.997 1.997 9.245
ATOMIC_POSITIONS crystal
Sb 0.000 0.000 0.000
Sb 0.750 0.250 0.500
Zn 0.500 0.500 0.000
Zn 0.250 0.750 0.500
Tc 0.545 0.125 0.250
Tc 0.205 0.625 0.250
Tc 0.375 0.455 0.750
Tc 0.875 0.795 0.750
```

Values from the calculation:
volume	147.44	Å³/cell
crystal system	tetragonal
offset from the most stable computed form	0.3254	eV per atom
formation energy from raw total energies	9.87	kcal/mol of atoms

=====

(3)
Compound: AcLa4Tm
Source: the Alexandria database
Functional: PBE
Structure: optimized geometry Values from VASP.

Cell and atoms, written as Quantum ESPRESSO input:
```
&SYSTEM
  ibrav = 0, nat = 6, ntyp = 3
/
ATOMIC_SPECIES
Ac 227.00 Ac.upf
La 138.91 La.upf
Tm 168.93 Tm.upf
CELL_PARAMETERS angstrom
-3.542 0.491 -3.176
3.009 -1.154 -3.534
-2.604 -10.642 1.260
ATOMIC_POSITIONS crystal
Ac 0.997 0.001 0.502
La 0.997 0.501 0.773
La 0.997 0.501 0.231
La 0.497 0.001 0.231
La 0.497 0.001 0.773
Tm 0.497 0.501 0.002
```

Values from the calculation:
DFT formation energy	577	meV per atom
volume	252.24	Å³/cell
crystal system	tetragonal
offset from the most stable computed form	0.3885	eV per atom

=====

(4)
Compound: Li2OsPb
Source: the Alexandria database
Functional: PBE
Structure: optimized geometry Values from VASP.

Cell and atoms, written as Quantum ESPRESSO input:
```
&SYSTEM
  ibrav = 0, nat = 8, ntyp = 3
/
ATOMIC_SPECIES
Pb 207.20 Pb.upf
Os 190.23 Os.upf
Li 6.94 Li.upf
CELL_PARAMETERS angstrom
3.908 0.000 0.000
0.000 3.908 0.000
1.954 1.954 9.713
ATOMIC_POSITIONS crystal
Pb 0.000 0.000 0.000
Pb 0.750 0.250 0.500
Os 0.500 0.500 0.000
Os 0.250 0.750 0.500
Li 0.586 0.125 0.250
Li 0.164 0.625 0.250
Li 0.375 0.414 0.750
Li 0.875 0.836 0.750
```

Values from the calculation:
DFT formation energy	543	meV per atom
volume	148.36	Å³/cell
crystal system	tetragonal

=====

(5)
Compound: TmThC2
Source: the Alexandria database
Functional: PBE
Structure: optimized geometry Values from VASP.

Cell and atoms, written as Quantum ESPRESSO input:
```
&SYSTEM
  ibrav = 0, nat = 4, ntyp = 3
/
ATOMIC_SPECIES
Tm 168.93 Tm.upf
Th 232.04 Th.upf
C 12.01 C.upf
CELL_PARAMETERS angstrom
-0.093 3.673 -0.342
-2.734 -1.760 1.743
6.623 0.442 3.018
ATOMIC_POSITIONS crystal
Tm 0.000 0.500 0.000
Th 0.000 0.500 0.500
C 0.502 0.505 0.754
C 0.498 0.495 0.246
```

Values from the calculation:
DFT formation energy	-142	meV per atom
volume	69.71	Å³/cell
crystal system	monoclinic
offset from the most stable computed form	0.0000	eV per atom

=====

(6)
Compound: LiSbSCl2
Source: the Alexandria database
Functional: PBE
Structure: optimized geometry Values from VASP.

Cell and atoms, written as Quantum ESPRESSO input:
```
&SYSTEM
  ibrav = 0, nat = 5, ntyp = 4
/
ATOMIC_SPECIES
Sb 121.76 Sb.upf
S 32.06 S.upf
Li 6.94 Li.upf
Cl 35.45 Cl.upf
CELL_PARAMETERS angstrom
5.388 0.000 0.000
0.000 5.388 0.000
0.000 0.000 5.135
ATOMIC_POSITIONS crystal
Sb 0.000 0.000 0.000
S 0.000 0.000 0.500
Li 0.500 0.500 0.500
Cl 0.000 0.500 0.000
Cl 0.500 0.000 0.000
```

Values from the calculation:
volume	149.09	Å³/cell
crystal system	tetragonal
offset from the most stable computed form	0.0000	eV per atom
formation energy from raw total energies	-13.54	kcal/mol of atoms

=====

(7)
Compound: Hg5Pb
Source: the Alexandria database
Functional: PBE
Structure: optimized geometry Values from VASP.

Cell and atoms, written as Quantum ESPRESSO input:
```
&SYSTEM
  ibrav = 0, nat = 6, ntyp = 2
/
ATOMIC_SPECIES
Hg 200.59 Hg.upf
Pb 207.20 Pb.upf
CELL_PARAMETERS angstrom
7.052 0.142 0.000
-5.505 4.409 0.000
0.000 0.000 5.041
ATOMIC_POSITIONS crystal
Hg 0.802 0.198 0.500
Hg 0.644 0.356 0.000
Hg 0.472 0.528 0.500
Hg 0.300 0.700 0.000
Hg 0.142 0.858 0.500
Pb 0.972 0.028 0.000
```

Values from the calculation:
DFT formation energy	29	meV per atom
volume	160.66	Å³/cell
crystal system	orthorhombic
offset from the most stable computed form	0.0073	eV per atom

=====

(8)
Compound: RbSn3Bi3
Source: the Alexandria database
Functional: PBE
Structure: optimized geometry Values from VASP.

Cell and atoms, written as Quantum ESPRESSO input:
```
&SYSTEM
  ibrav = 0, nat = 14, ntyp = 3
/
ATOMIC_SPECIES
Rb 85.47 Rb.upf
Sn 118.71 Sn.upf
Bi 208.98 Bi.upf
CELL_PARAMETERS angstrom
4.302 0.000 0.000
0.000 11.616 0.000
0.000 -5.808 10.060
ATOMIC_POSITIONS crystal
Rb 0.250 0.667 0.333
Rb 0.750 0.333 0.667
Sn 0.750 0.937 0.756
Sn 0.750 0.819 0.063
Sn 0.250 0.756 0.819
Sn 0.750 0.244 0.181
Sn 0.250 0.181 0.937
Sn 0.250 0.063 0.244
Bi 0.750 0.623 0.595
Bi 0.750 0.972 0.377
Bi 0.250 0.595 0.972
Bi 0.750 0.405 0.028
Bi 0.250 0.028 0.623
Bi 0.250 0.377 0.405
```

Values from the calculation:
DFT formation energy	-29	meV per atom
volume	502.70	Å³/cell
crystal system	hexagonal
offset from the most stable computed form	0.0000	eV per atom

=====

no.,raw total energy (eV/cell)
1,-26.64
2,-48.83
3,-24.82
4,-33.19
5,-30.91
6,-16.79
7,-5.04
8,-49.64